# 1
The following is a DFT calculation (PBE-GGA) of a relaxed structure of Ac4Te2RuAu.

Results
Calculated density   8662 kg/m3
Size of the total moment   0.0 μB/cell
Symmetry   P2/m (10)
Energy   -0.3941 Ry/atom
Fermi-level density of states   5.49 states/eV per cell

Lattice parameters (Å, degrees): 7.7929 4.4747 8.4227 90.00 107.50 90.00
Element x y z (fractional)
1 Ac 0.2232 0.0000 0.2133
2 Ac 0.2407 0.5000 0.7834
3 Ac 0.7593 0.5000 0.2166
4 Ac 0.7768 0.0000 0.7867
5 Te 0.0000 0.0000 0.5000
6 Te 0.5000 0.5000 0.5000
7 Ru 0.0000 0.5000 0.0000
8 Au 0.5000 0.0000 0.0000

# 2
The following is a DFT calculation (PBE-GGA) of a relaxed structure of KYVBr6.

Results
Calculated density   3427 kg/m3
Size of the total moment   6.0 μB/cell
Symmetry   P-31c (163)
Energy   -0.3283 Ry/atom

Lattice parameters (Å, degrees): 7.0338 7.0338 14.8898 90.00 90.00 120.00
Element x y z (fractional)
1 K 0.0000 0.0000 0.0000
2 K 0.0000 0.0000 0.5000
3 Y 0.3333 0.6667 0.2500
4 Y 0.6667 0.3333 0.7500
5 V 0.3333 0.6667 0.7500
6 V 0.6667 0.3333 0.2500
7 Br 0.0173 0.3735 0.6446
8 Br 0.0173 0.6438 0.8554
9 Br 0.3562 0.3735 0.8554
10 Br 0.3562 0.9827 0.6446
11 Br 0.3735 0.0173 0.1446
12 Br 0.3735 0.3562 0.3554
13 Br 0.6265 0.6438 0.6446
14 Br 0.6265 0.9827 0.8554
15 Br 0.6438 0.0173 0.3554
16 Br 0.6438 0.6265 0.1446
17 Br 0.9827 0.3562 0.1446
18 Br 0.9827 0.6265 0.3554

# 3
The following is a DFT calculation (PBE-GGA) of a relaxed structure of TbPmEr2In4.

Results
Calculated density   8490 kg/m3
Size of the total moment   0.0 μB/cell
Symmetry   R-3m (166)
Energy   -0.3046 Ry/atom
Fermi-level density of states   3.79 states/eV per cell

Lattice parameters (Å, degrees): 9.2530 9.2530 9.2530 33.48 33.48 33.48
Element x y z (fractional)
1 Tb 0.0000 0.0000 0.0000
2 Pm 0.5000 0.5000 0.5000
3 Er 0.2502 0.2502 0.2502
4 Er 0.7498 0.7498 0.7498
5 In 0.1241 0.1241 0.1241
6 In 0.3742 0.3742 0.3742
7 In 0.6258 0.6258 0.6258
8 In 0.8759 0.8759 0.8759

Repeat the first record exactly.
The following is a DFT calculation (PBE-GGA) of a relaxed structure of Ac4Te2RuAu.

Results
Calculated density   8662 kg/m3
Size of the total moment   0.0 μB/cell
Symmetry   P2/m (10)
Energy   -0.3941 Ry/atom
Fermi-level density of states   5.49 states/eV per cell

Lattice parameters (Å, degrees): 7.7929 4.4747 8.4227 90.00 107.50 90.00
Element x y z (fractional)
1 Ac 0.2232 0.0000 0.2133
2 Ac 0.2407 0.5000 0.7834
3 Ac 0.7593 0.5000 0.2166
4 Ac 0.7768 0.0000 0.7867
5 Te 0.0000 0.0000 0.5000
6 Te 0.5000 0.5000 0.5000
7 Ru 0.0000 0.5000 0.0000
8 Au 0.5000 0.0000 0.0000

What is the formula in the third record?
TbPmEr2In4

Which value of energy does entry 1 give?
-0.3941 Ry/atom